Entry 1:
# Y2Si4NiRh3

A relaxed Y2Si4NiRh3 crystal (PBE, the Alexandria database).

Geometry as CIF:
```
data_Y2Si4NiRh3
_symmetry_space_group_name_H-M 'P -4 m 2'
_symmetry_Int_Tables_number 115
_cell_length_a 4.071
_cell_length_b 4.071
_cell_length_c 9.912
_cell_angle_alpha 90.00
_cell_angle_beta 90.00
_cell_angle_gamma 90.00
loop_
_symmetry_equiv_pos_as_xyz
'x,y,z'
'y,-x,-z'
'-x,-y,z'
'-y,x,-z'
'-x,y,z'
'-y,-x,-z'
'x,-y,z'
'y,x,-z'
loop_
_atom_site_label
_atom_site_type_symbol
_atom_site_fract_x
_atom_site_fract_y
_atom_site_fract_z
_atom_site_occupancy
Y1 Y 0.000 0.500 0.247 1
Si1 Si 0.000 0.000 0.000 1
Si2 Si 0.000 0.500 0.629 1
Si3 Si 0.500 0.500 0.000 1
Ni1 Ni 0.000 0.000 0.500 1
Rh1 Rh 0.000 0.500 0.870 1
Rh2 Rh 0.500 0.500 0.500 1
```

uncorrected formation energy = -934 kJ/mol of formula units
M_tot = 0.00 μB per cell
volume = 164.3 Å³ per cell

Entry 2:
# YLuMgCu

A relaxed YLuMgCu crystal (PBE, the Alexandria database).

Geometry as CIF:
```
data_YLuMgCu
_symmetry_space_group_name_H-M 'F -4 3 m'
_symmetry_Int_Tables_number 216
_symmetry_space_group_name_Hall 'F -4 2 3'
_cell_length_a 7.193
_cell_length_b 7.193
_cell_length_c 7.193
_cell_angle_alpha 90.00
_cell_angle_beta 90.00
_cell_angle_gamma 90.00
loop_
_atom_site_label
_atom_site_type_symbol
_atom_site_fract_x
_atom_site_fract_y
_atom_site_fract_z
_atom_site_occupancy
Y1 Y 0.000 0.000 0.000 1
Lu1 Lu 0.000 0.000 0.500 1
Mg1 Mg 0.250 0.250 0.750 1
Cu1 Cu 0.250 0.250 0.250 1
```

M_tot = 0.01 μB per cell
formation energy = -0.28 eV/f.u.
volume = 372.2 Å³ per cell

Entry 3:
# MoRhBr2

A relaxed MoRhBr2 crystal (PBE, the Alexandria database).

Geometry as CIF:
```
data_MoRhBr2
_symmetry_space_group_name_H-M 'C 1 2/m 1'
_symmetry_Int_Tables_number 12
_cell_length_a 6.139
_cell_length_b 8.728
_cell_length_c 3.267
_cell_angle_alpha 90.00
_cell_angle_beta 118.49
_cell_angle_gamma 90.00
loop_
_symmetry_equiv_pos_as_xyz
'x,y,z'
'-x,-y,-z'
'-x,y,-z'
'x,-y,z'
'x+1/2,y+1/2,z'
'-x+1/2,-y+1/2,-z'
'-x+1/2,y+1/2,-z'
'x+1/2,-y+1/2,z'
loop_
_atom_site_label
_atom_site_type_symbol
_atom_site_fract_x
_atom_site_fract_y
_atom_site_fract_z
_atom_site_occupancy
Mo1 Mo 0.000 0.000 0.000 1
Rh1 Rh 0.000 0.500 0.000 1
Br1 Br 0.250 0.250 0.000 1
```

uncorrected formation energy = 298 kJ/mol of formula units
M_tot = 3.88 μB per cell
volume = 153.8 Å³ per cell
ΔE to the lowest computed polymorph = 301 kJ/mol of formula units

Entry 4:
# Na3Dy2ZrSe6

A relaxed Na3Dy2ZrSe6 crystal (PBE, the Alexandria database).

Geometry as CIF:
```
data_Na3Dy2ZrSe6
_symmetry_space_group_name_H-M 'C 1 2/m 1'
_symmetry_Int_Tables_number 12
_cell_length_a 7.001
_cell_length_b 12.128
_cell_length_c 7.439
_cell_angle_alpha 90.00
_cell_angle_beta 108.34
_cell_angle_gamma 90.00
loop_
_symmetry_equiv_pos_as_xyz
'x,y,z'
'-x,-y,-z'
'-x,y,-z'
'x,-y,z'
'x+1/2,y+1/2,z'
'-x+1/2,-y+1/2,-z'
'-x+1/2,y+1/2,-z'
'x+1/2,-y+1/2,z'
loop_
_atom_site_label
_atom_site_type_symbol
_atom_site_fract_x
_atom_site_fract_y
_atom_site_fract_z
_atom_site_occupancy
Na1 Na 0.000 0.000 0.000 1
Na2 Na 0.000 0.331 0.000 1
Dy1 Dy 0.000 0.166 0.500 1
Zr1 Zr 0.000 0.500 0.500 1
Se1 Se 0.237 0.339 0.729 1
Se2 Se 0.245 0.500 0.271 1
```

uncorrected formation energy = -1790 kJ/mol of formula units
M_tot = 0.00 μB per cell
volume = 599.6 Å³ per cell

Entry 5:
# LiIrNF2

A relaxed LiIrNF2 crystal (PBE, the Alexandria database).

Geometry as CIF:
```
data_LiIrNF2
_symmetry_space_group_name_H-M 'P 4/m m m'
_symmetry_Int_Tables_number 123
_symmetry_space_group_name_Hall '-P 4 2'
_cell_length_a 4.422
_cell_length_b 4.422
_cell_length_c 3.683
_cell_angle_alpha 90.00
_cell_angle_beta 90.00
_cell_angle_gamma 90.00
loop_
_atom_site_label
_atom_site_type_symbol
_atom_site_fract_x
_atom_site_fract_y
_atom_site_fract_z
_atom_site_occupancy
Li1 Li 0.000 0.000 0.000 1
Ir1 Ir 0.500 0.500 0.500 1
N1 N 0.500 0.500 0.000 1
F1 F 0.000 0.500 0.500 1
```

uncorrected formation energy = -367 kJ/mol of formula units
M_tot = 0.15 μB per cell
volume = 72.0 Å³ per cell
ΔE to the lowest computed polymorph = 0 kJ/mol of formula units

Entry 6:
# La8POs3Br3

A relaxed La8POs3Br3 crystal (PBE, the Alexandria database).

Geometry as CIF:
```
data_La8POs3Br3
_symmetry_space_group_name_H-M 'R -3 m'
_symmetry_Int_Tables_number 166
_symmetry_space_group_name_Hall '-R 3 2"'
_cell_length_a 8.5230
_cell_length_b 8.5230
_cell_length_c 22.6820
_cell_angle_alpha 90.00
_cell_angle_beta 90.00
_cell_angle_gamma 120.00
loop_
_atom_site_label
_atom_site_type_symbol
_atom_site_fract_x
_atom_site_fract_y
_atom_site_fract_z
_atom_site_occupancy
La1 La 0.0000 0.0000 0.2356 1
La2 La 0.0127 0.5064 0.7671 1
P1 P 0.0000 0.0000 0.5000 1
Os1 Os 0.0000 0.5000 0.5000 1
Br1 Br 0.0000 0.5000 0.0000 1
```

uncorrected formation energy = -1217 kJ/mol of formula units
M_tot = 0.00 μB per cell
volume = 1426.8 Å³ per cell

Entry 7:
# La4In5Ag2

A relaxed La4In5Ag2 crystal (PBE, the Alexandria database).

Geometry as CIF:
```
data_La4In5Ag2
_symmetry_space_group_name_H-M 'P 1 2/m 1'
_symmetry_Int_Tables_number 10
_cell_length_a 8.082
_cell_length_b 3.675
_cell_length_c 10.458
_cell_angle_alpha 90.00
_cell_angle_beta 94.32
_cell_angle_gamma 90.00
loop_
_symmetry_equiv_pos_as_xyz
'x,y,z'
'-x,-y,-z'
'-x,y,-z'
'x,-y,z'
loop_
_atom_site_label
_atom_site_type_symbol
_atom_site_fract_x
_atom_site_fract_y
_atom_site_fract_z
_atom_site_occupancy
La1 La 0.166 0.000 0.380 1
La2 La 0.269 0.000 0.944 1
In1 In 0.195 0.500 0.665 1
In2 In 0.439 0.500 0.203 1
In3 In 0.500 0.500 0.500 1
Ag1 Ag 0.060 0.500 0.134 1
```

M_tot = 0.00 μB per cell
formation energy = -4.49 eV/f.u.
volume = 309.7 Å³ per cell

Entry 8:
# Bi2TeOsCl

A relaxed Bi2TeOsCl crystal (PBE, the Alexandria database).

Geometry as CIF:
```
data_Bi2TeOsCl
_symmetry_space_group_name_H-M 'P 4/m m m'
_symmetry_Int_Tables_number 123
_symmetry_space_group_name_Hall '-P 4 2'
_cell_length_a 5.497
_cell_length_b 5.497
_cell_length_c 5.087
_cell_angle_alpha 90.00
_cell_angle_beta 90.00
_cell_angle_gamma 90.00
loop_
_atom_site_label
_atom_site_type_symbol
_atom_site_fract_x
_atom_site_fract_y
_atom_site_fract_z
_atom_site_occupancy
Bi1 Bi 0.000 0.500 0.000 1
Te1 Te 0.000 0.000 0.500 1
Os1 Os 0.000 0.000 0.000 1
Cl1 Cl 0.500 0.500 0.500 1
```

uncorrected formation energy = 251 kJ/mol of formula units
M_tot = 0.00 μB per cell
volume = 153.7 Å³ per cell

Entry 9:
# NaHg2TeI

A relaxed NaHg2TeI crystal (PBE, the Alexandria database).

Geometry as CIF:
```
data_NaHg2TeI
_symmetry_space_group_name_H-M 'P 4/m m m'
_symmetry_Int_Tables_number 123
_symmetry_space_group_name_Hall '-P 4 2'
_cell_length_a 5.728
_cell_length_b 5.728
_cell_length_c 6.118
_cell_angle_alpha 90.00
_cell_angle_beta 90.00
_cell_angle_gamma 90.00
loop_
_atom_site_label
_atom_site_type_symbol
_atom_site_fract_x
_atom_site_fract_y
_atom_site_fract_z
_atom_site_occupancy
Na1 Na 0.000 0.000 0.000 1
Hg1 Hg 0.000 0.500 0.500 1
Te1 Te 0.000 0.000 0.500 1
I1 I 0.500 0.500 0.000 1
```

uncorrected formation energy = -188 kJ/mol of formula units
M_tot = 0.00 μB per cell
volume = 200.7 Å³ per cell

Entry 10:
# Mg2Au

A relaxed Mg2Au crystal (PBE, the Alexandria database).

Geometry as CIF:
```
data_Mg2Au
_symmetry_space_group_name_H-M 'I 41/a m d'
_symmetry_Int_Tables_number 141
_cell_length_a 3.233
_cell_length_b 3.233
_cell_length_c 24.284
_cell_angle_alpha 90.00
_cell_angle_beta 90.00
_cell_angle_gamma 90.00
loop_
_symmetry_equiv_pos_as_xyz
'x,y,z'
'-x,-y,-z'
'-y+1/4,x+3/4,z+1/4'
'y+1/4,-x+3/4,-z+1/4'
'-x+1/2,-y,z+1/2'
'x+1/2,y,-z+1/2'
'y+1/4,-x+1/4,z+3/4'
'-y+1/4,x+1/4,-z+3/4'
'x,-y,-z'
'-x,y,z'
'-y+1/4,-x+1/4,-z+3/4'
'y+1/4,x+1/4,z+3/4'
'-x+1/2,y,-z+1/2'
'x+1/2,-y,z+1/2'
'y+1/4,x+3/4,-z+1/4'
'-y+1/4,-x+3/4,z+1/4'
'x+1/2,y+1/2,z+1/2'
'-x+1/2,-y+1/2,-z+1/2'
'-y+3/4,x+1/4,z+3/4'
'y+3/4,-x+1/4,-z+3/4'
'-x,-y+1/2,z'
'x,y+1/2,-z'
'y+3/4,-x+3/4,z+1/4'
'-y+3/4,x+3/4,-z+1/4'
'x+1/2,-y+1/2,-z+1/2'
'-x+1/2,y+1/2,z+1/2'
'-y+3/4,-x+3/4,-z+1/4'
'y+3/4,x+3/4,z+1/4'
'-x,y+1/2,-z'
'x,-y+1/2,z'
'y+3/4,x+1/4,-z+3/4'
'-y+3/4,-x+1/4,z+3/4'
loop_
_atom_site_label
_atom_site_type_symbol
_atom_site_fract_x
_atom_site_fract_y
_atom_site_fract_z
_atom_site_occupancy
Mg1 Mg 0.000 0.250 0.306 1
Au1 Au 0.000 0.250 0.875 1
```

M_tot = 0.00 μB per cell
formation energy = -1.01 eV/f.u.
volume = 253.8 Å³ per cell

Entry 11:
# KTc2Ir

A relaxed KTc2Ir crystal (PBE, the Alexandria database).

Geometry as CIF:
```
data_KTc2Ir
_symmetry_space_group_name_H-M 'C m m 2'
_symmetry_Int_Tables_number 35
_cell_length_a 2.881
_cell_length_b 4.676
_cell_length_c 10.293
_cell_angle_alpha 90.00
_cell_angle_beta 90.00
_cell_angle_gamma 90.00
loop_
_symmetry_equiv_pos_as_xyz
'x,y,z'
'-x,-y,z'
'-x,y,z'
'x,-y,z'
'x+1/2,y+1/2,z'
'-x+1/2,-y+1/2,z'
'-x+1/2,y+1/2,z'
'x+1/2,-y+1/2,z'
loop_
_atom_site_label
_atom_site_type_symbol
_atom_site_fract_x
_atom_site_fract_y
_atom_site_fract_z
_atom_site_occupancy
K1 K 0.000 0.000 0.000 1
Tc1 Tc 0.000 0.000 0.496 1
Tc2 Tc 0.000 0.500 0.706 1
Ir1 Ir 0.000 0.500 0.275 1
```

M_tot = 0.00 μB per cell
formation energy = 2.83 eV/f.u.
volume = 138.6 Å³ per cell
ΔE to the lowest computed polymorph = 40 kJ/mol of formula units

Entry 12:
# NdZn2Pt4

A relaxed NdZn2Pt4 crystal (PBE, the Alexandria database).

Geometry as CIF:
```
data_NdZn2Pt4
_symmetry_space_group_name_H-M 'I 4/m m m'
_symmetry_Int_Tables_number 139
_symmetry_space_group_name_Hall '-I 4 2'
_cell_length_a 7.952
_cell_length_b 7.952
_cell_length_c 5.082
_cell_angle_alpha 90.00
_cell_angle_beta 90.00
_cell_angle_gamma 90.00
loop_
_atom_site_label
_atom_site_type_symbol
_atom_site_fract_x
_atom_site_fract_y
_atom_site_fract_z
_atom_site_occupancy
Nd1 Nd 0.000 0.000 0.000 1
Zn1 Zn 0.000 0.500 0.250 1
Pt1 Pt 0.000 0.229 0.500 1
```

M_tot = 0.00 μB per cell
formation energy = -0.97 eV/f.u.
volume = 321.3 Å³ per cell
ΔE to the lowest computed polymorph = 353 kJ/mol of formula units